A plane-wave DFT calculation with GGA-PBE was carried out for crystalline Li3Y2BeCu12 at its relaxed geometry.

Unit cell a=12.043 b=12.043 c=12.043 alpha=25.15 beta=25.15 gamma=25.15
Atoms (fractional coordinates):
Cu: 0.398 0.398 0.880
Cu: 0.880 0.398 0.398
Cu: 0.891 0.891 0.378
Cu: 0.891 0.378 0.891
Cu: 0.109 0.622 0.109
Cu: 0.378 0.891 0.891
Cu: 0.109 0.109 0.622
Cu: 0.602 0.120 0.602
Cu: 0.398 0.880 0.398
Cu: 0.622 0.109 0.109
Cu: 0.120 0.602 0.602
Cu: 0.602 0.602 0.120
Li: 0.000 0.500 0.000
Li: 0.000 0.000 0.500
Li: 0.500 0.000 0.000
Y: 0.645 0.645 0.645
Y: 0.355 0.355 0.355
Be: 0.000 0.000 0.000

## Properties
Calculated formation energy: 0.084 eV/atom
Energy: -0.2860 Ry/atom

=====

A plane-wave DFT calculation with GGA-PBE was carried out for crystalline Li2BeZn2Cu5 at its relaxed geometry.

Unit cell a=2.720 b=9.939 c=9.939 alpha=90.00 beta=90.00 gamma=90.00
Atoms (fractional coordinates):
Cu: 0.500 0.033 0.820
Cu: 0.500 0.680 0.467
Cu: 0.500 0.467 0.320
Cu: 0.500 0.000 0.500
Cu: 0.500 0.500 0.000
Cu: 0.500 0.820 0.967
Cu: 0.500 0.320 0.533
Cu: 0.500 0.533 0.680
Cu: 0.500 0.180 0.033
Cu: 0.500 0.967 0.180
Li: 0.000 0.168 0.332
Li: 0.000 0.332 0.832
Li: 0.000 0.832 0.668
Li: 0.000 0.668 0.168
Be: 0.000 0.000 0.000
Be: 0.000 0.500 0.500
Zn: 0.000 0.144 0.644
Zn: 0.000 0.356 0.144
Zn: 0.000 0.644 0.856
Zn: 0.000 0.856 0.356

## Properties
Calculated formation energy: -0.008 eV/atom
Energy: -0.2254 Ry/atom